# 1
# Be2NiSe (PBE, relaxed)
# * crystal system: tetragonal
# * E_form (uncorrected): 0.223 eV/atom
# * total DFT energy (no corrections): -15.83 eV for the cell shown
data_Be2NiSe
_chemical_formula_sum 'Be2 Ni1 Se1'
_symmetry_space_group_name_H-M 'P 4 m m'
_symmetry_Int_Tables_number 99
_symmetry_space_group_name_Hall 'P 4 -2'
_cell_length_a 2.695
_cell_length_b 2.695
_cell_length_c 7.375
_cell_angle_alpha 90.00
_cell_angle_beta 90.00
_cell_angle_gamma 90.00
loop_
_atom_site_label
_atom_site_type_symbol
_atom_site_fract_x
_atom_site_fract_y
_atom_site_fract_z
Be1 Be 0.000 0.000 0.000
Be2 Be 0.500 0.500 0.145
Ni1 Ni 0.000 0.000 0.319
Se1 Se 0.500 0.500 0.563

# 2
# Be2NiSe (PBE, relaxed)
# * crystal system: orthorhombic
# * E_form (uncorrected): 0.027 eV/atom
# * total DFT energy (no corrections): -33.22 eV for the cell shown
data_Be2NiSe
_chemical_formula_sum 'Be4 Ni2 Se2'
_symmetry_space_group_name_H-M 'C m m m'
_symmetry_Int_Tables_number 65
_symmetry_space_group_name_Hall '-C 2 2'
_cell_length_a 3.746
_cell_length_b 7.429
_cell_length_c 3.704
_cell_angle_alpha 90.00
_cell_angle_beta 90.00
_cell_angle_gamma 90.00
loop_
_atom_site_label
_atom_site_type_symbol
_atom_site_fract_x
_atom_site_fract_y
_atom_site_fract_z
Be1 Be 0.000 0.186 0.000
Ni1 Ni 0.000 0.500 0.000
Se1 Se 0.000 0.000 0.500

# 3
# Be2NiSe (PBE, relaxed)
# * crystal system: tetragonal
# * E_form (uncorrected): 0.185 eV/atom
# * total DFT energy (no corrections): -31.96 eV for the cell shown
data_Be2NiSe
_chemical_formula_sum 'Be4 Ni2 Se2'
_symmetry_space_group_name_H-M 'I -4 m 2'
_symmetry_Int_Tables_number 119
_symmetry_space_group_name_Hall 'I -4 -2'
_cell_length_a 3.351
_cell_length_b 3.351
_cell_length_c 8.307
_cell_angle_alpha 90.00
_cell_angle_beta 90.00
_cell_angle_gamma 90.00
loop_
_atom_site_label
_atom_site_type_symbol
_atom_site_fract_x
_atom_site_fract_y
_atom_site_fract_z
Be1 Be 0.000 0.000 0.000
Be2 Be 0.000 0.500 0.250
Ni1 Ni 0.000 0.500 0.750
Se1 Se 0.000 0.000 0.500

# 4
# Be2Ni2Se (PBE, relaxed)
# * crystal system: tetragonal
# * ΔE to the lowest computed polymorph: 0.000 eV/atom
# * E_form (uncorrected): -0.001 eV/atom
# * total DFT energy (no corrections): -45.01 eV for the cell shown
data_Be2Ni2Se
_chemical_formula_sum 'Be4 Ni4 Se2'
_symmetry_space_group_name_H-M 'P 4/m b m'
_symmetry_Int_Tables_number 127
_symmetry_space_group_name_Hall '-P 4 2ab'
_cell_length_a 5.908
_cell_length_b 5.908
_cell_length_c 3.219
_cell_angle_alpha 90.00
_cell_angle_beta 90.00
_cell_angle_gamma 90.00
loop_
_atom_site_label
_atom_site_type_symbol
_atom_site_fract_x
_atom_site_fract_y
_atom_site_fract_z
Be1 Be 0.126 0.374 0.000
Ni1 Ni 0.151 0.651 0.500
Se1 Se 0.000 0.000 0.000

# 5
# Be2NiSe (PBE, relaxed)
# * crystal system: tetragonal
# * E_form (uncorrected): 0.184 eV/atom
# * total DFT energy (no corrections): -31.97 eV for the cell shown
data_Be2NiSe
_chemical_formula_sum 'Be4 Ni2 Se2'
_symmetry_space_group_name_H-M 'I 4/m m m'
_symmetry_Int_Tables_number 139
_symmetry_space_group_name_Hall '-I 4 2'
_cell_length_a 3.536
_cell_length_b 3.536
_cell_length_c 7.311
_cell_angle_alpha 90.00
_cell_angle_beta 90.00
_cell_angle_gamma 90.00
loop_
_atom_site_label
_atom_site_type_symbol
_atom_site_fract_x
_atom_site_fract_y
_atom_site_fract_z
Be1 Be 0.000 0.500 0.250
Ni1 Ni 0.000 0.000 0.000
Se1 Se 0.000 0.000 0.500

# 6
# Be2NiSe (PBE, relaxed)
# * crystal system: orthorhombic
# * E_form (uncorrected): 0.137 eV/atom
# * total DFT energy (no corrections): -32.34 eV for the cell shown
data_Be2NiSe
_chemical_formula_sum 'Be4 Ni2 Se2'
_symmetry_space_group_name_H-M 'C m m m'
_symmetry_Int_Tables_number 65
_symmetry_space_group_name_Hall '-C 2 2'
_cell_length_a 4.863
_cell_length_b 5.933
_cell_length_c 3.195
_cell_angle_alpha 90.00
_cell_angle_beta 90.00
_cell_angle_gamma 90.00
loop_
_atom_site_label
_atom_site_type_symbol
_atom_site_fract_x
_atom_site_fract_y
_atom_site_fract_z
Be1 Be 0.250 0.250 0.000
Ni1 Ni 0.000 0.000 0.500
Se1 Se 0.000 0.500 0.500

# 7
# Be2NiSe (PBE, relaxed)
# * crystal system: trigonal
# * E_form (uncorrected): -0.053 eV/atom
# * total DFT energy (no corrections): -16.93 eV for the cell shown
data_Be2NiSe
_chemical_formula_sum 'Be2 Ni1 Se1'
_symmetry_space_group_name_H-M 'P 3 m 1'
_symmetry_Int_Tables_number 156
_symmetry_space_group_name_Hall 'P 3 -2"'
_cell_length_a 3.6356
_cell_length_b 3.6356
_cell_length_c 4.7241
_cell_angle_alpha 90.00
_cell_angle_beta 90.00
_cell_angle_gamma 120.00
loop_
_atom_site_label
_atom_site_type_symbol
_atom_site_fract_x
_atom_site_fract_y
_atom_site_fract_z
Be1 Be 0.0000 0.0000 0.0000
Be2 Be 0.3333 0.6667 0.8386
Ni1 Ni 0.6667 0.3333 0.7489
Se1 Se 0.0000 0.0000 0.4835

# 8
# Be4NiSe (PBE, relaxed)
# * crystal system: cubic
# * E_form (uncorrected): 0.210 eV/atom
# * total DFT energy (no corrections): -91.64 eV for the cell shown
data_Be4NiSe
_chemical_formula_sum 'Be16 Ni4 Se4'
_symmetry_space_group_name_H-M 'F -4 3 m'
_symmetry_Int_Tables_number 216
_symmetry_space_group_name_Hall 'F -4 2 3'
_cell_length_a 6.267
_cell_length_b 6.267
_cell_length_c 6.267
_cell_angle_alpha 90.00
_cell_angle_beta 90.00
_cell_angle_gamma 90.00
loop_
_atom_site_label
_atom_site_type_symbol
_atom_site_fract_x
_atom_site_fract_y
_atom_site_fract_z
Be1 Be 0.123 0.123 0.123
Ni1 Ni 0.250 0.250 0.750
Se1 Se 0.000 0.000 0.500

# 9
# Be2NiSe (PBE, relaxed)
# * crystal system: tetragonal
# * E_form (uncorrected): 0.150 eV/atom
# * total DFT energy (no corrections): -16.12 eV for the cell shown
data_Be2NiSe
_chemical_formula_sum 'Be2 Ni1 Se1'
_symmetry_space_group_name_H-M 'P 4/m m m'
_symmetry_Int_Tables_number 123
_symmetry_space_group_name_Hall '-P 4 2'
_cell_length_a 3.803
_cell_length_b 3.803
_cell_length_c 3.177
_cell_angle_alpha 90.00
_cell_angle_beta 90.00
_cell_angle_gamma 90.00
loop_
_atom_site_label
_atom_site_type_symbol
_atom_site_fract_x
_atom_site_fract_y
_atom_site_fract_z
Be1 Be 0.000 0.500 0.000
Ni1 Ni 0.000 0.000 0.500
Se1 Se 0.500 0.500 0.500

# 10
# Be2Ni2Se (PBE, relaxed)
# * crystal system: tetragonal
# * ΔE to the lowest computed polymorph: 0.170 eV/atom
# * E_form (uncorrected): 0.169 eV/atom
# * total DFT energy (no corrections): -43.31 eV for the cell shown
data_Be2Ni2Se
_chemical_formula_sum 'Be4 Ni4 Se2'
_symmetry_space_group_name_H-M 'I 4/m m m'
_symmetry_Int_Tables_number 139
_symmetry_space_group_name_Hall '-I 4 2'
_cell_length_a 3.443
_cell_length_b 3.443
_cell_length_c 10.137
_cell_angle_alpha 90.00
_cell_angle_beta 90.00
_cell_angle_gamma 90.00
loop_
_atom_site_label
_atom_site_type_symbol
_atom_site_fract_x
_atom_site_fract_y
_atom_site_fract_z
Be1 Be 0.000 0.000 0.113
Ni1 Ni 0.000 0.500 0.250
Se1 Se 0.000 0.000 0.500

# 11
# Be2NiSe (PBE, relaxed)
# * crystal system: monoclinic
# * E_form (uncorrected): -0.085 eV/atom
# * total DFT energy (no corrections): -17.06 eV for the cell shown
data_Be2NiSe
_chemical_formula_sum 'Be2 Ni1 Se1'
_symmetry_space_group_name_H-M 'P 1 m 1'
_symmetry_Int_Tables_number 6
_symmetry_space_group_name_Hall 'P -2y'
_cell_length_a 3.359
_cell_length_b 3.439
_cell_length_c 5.021
_cell_angle_alpha 90.00
_cell_angle_beta 109.18
_cell_angle_gamma 90.00
loop_
_atom_site_label
_atom_site_type_symbol
_atom_site_fract_x
_atom_site_fract_y
_atom_site_fract_z
Be1 Be 0.000 0.000 0.000
Be2 Be 0.499 0.500 0.998
Ni1 Ni 0.854 0.500 0.703
Se1 Se 0.656 0.000 0.318

# 12
# Be2NiSe (PBE, relaxed)
# * crystal system: monoclinic
# * E_form (uncorrected): 0.026 eV/atom
# * total DFT energy (no corrections): -16.61 eV for the cell shown
data_Be2NiSe
_chemical_formula_sum 'Be2 Ni1 Se1'
_symmetry_space_group_name_H-M 'P 1 2/m 1'
_symmetry_Int_Tables_number 10
_symmetry_space_group_name_Hall '-P 2y'
_cell_length_a 2.654
_cell_length_b 3.177
_cell_length_c 5.810
_cell_angle_alpha 90.00
_cell_angle_beta 90.43
_cell_angle_gamma 90.00
loop_
_atom_site_label
_atom_site_type_symbol
_atom_site_fract_x
_atom_site_fract_y
_atom_site_fract_z
Be1 Be 0.001 0.000 0.185
Ni1 Ni 0.500 0.500 0.000
Se1 Se 0.000 0.500 0.500